(1)
The following is a PBE calculation of a relaxed TbSm3Er7 crystal, from the Alexandria database.

Computed properties:
**Size of the total moment**: 0.28 μB per formula unit

Cell lengths 5.7879, 11.1083, 11.1472 Å; angles 90.00, 90.00, 90.00 degrees
Closest atoms and distances in Å follow each position.
Space group Immm (No. 71)
Asymmetric unit:
Tb  0.0000  0.0000  0.0000 (multiplicity 2)  2 Er 2.89
Sm  0.0000  0.0000  0.5000 (multiplicity 2)  4 Er 3.17
Sm  0.0000  0.5000  0.2115 (multiplicity 4)  5 Er 3.22-3.41
Er  0.0000  0.2079  0.3048 (multiplicity 8)  2 Sm 3.17-3.41, 3 Er 3.28-3.53
Er  0.0000  0.2944  0.0000 (multiplicity 4)  1 Tb 3.27, 2 Sm 3.28, 6 Er 3.53-3.62
Er  0.0000  0.5000  0.5000 (multiplicity 2)  2 Tb 2.89, 2 Sm 3.22

(2)
The following is a PBE calculation of a relaxed TbSm3Er7 crystal, from the Alexandria database.

Computed properties:
**Size of the total moment**: 0.00 μB per formula unit

Cell lengths 6.9142, 5.4886, 9.9410 Å; angles 90.00, 109.86, 90.00 degrees
Closest atoms and distances in Å follow each position.
Space group P2/m (No. 10)
Asymmetric unit:
Tb  0.0000  0.0000  0.0000 (multiplicity 1)  2 Sm 3.46, 10 Er 3.49-3.79
Sm  0.2186  0.5000  0.5025 (multiplicity 2)  1 Sm 3.01, 2 Er 3.33-3.34
Sm  0.5000  0.0000  0.0000 (multiplicity 1)  2 Tb 3.46, 10 Er 3.50-3.80
Er  0.0797  0.0000  0.6703 (multiplicity 2)  3 Er 3.18-3.27, 1 Tb 3.50, 4 Sm 3.51
Er  0.1799  0.5000  0.8613 (multiplicity 2)  5 Er 3.27-3.54, 2 Tb 3.49, 2 Sm 3.50
Er  0.3524  0.5000  0.2106 (multiplicity 2)  3 Er 3.27-3.54, 2 Sm 3.33-3.34
Er  0.5000  0.0000  0.5000 (multiplicity 1)  4 Sm 3.37

Unit: eV/atom. Relative energies: (1) 0.122; (2) 0.000.

(1)
The following is a PBE calculation of a relaxed Tb4Sm3Er2 crystal, from the Alexandria database.

Computed properties:
**Size of the total moment**: 0.00 μB per formula unit

Cell lengths 6.1738, 6.1858, 9.4378 Å; angles 70.94, 89.97, 60.10 degrees
Closest atoms and distances in Å follow each position.
Space group P-1 (No. 2)
Asymmetric unit:
Tb  0.1657  0.1677  0.9999 (multiplicity 2)  5 Sm 3.56-3.58, 5 Tb 3.56-3.58, 2 Er 3.57-3.58
Tb  0.2770  0.6124  0.3335 (multiplicity 2)  4 Er 3.56-3.57, 5 Sm 3.56-3.58, 3 Tb 3.57
Sm  0.3884  0.0560  0.6659 (multiplicity 2)  2 Sm 3.56-3.58, 4 Er 3.56-3.57, 6 Tb 3.56-3.58
Sm  0.5000  0.5000  0.0000 (multiplicity 1)  8 Tb 3.56-3.58, 2 Er 3.57, 2 Sm 3.58
Er  0.0554  0.7226  0.6660 (multiplicity 2)  6 Tb 3.56-3.58, 5 Sm 3.56-3.57, 1 Er 3.56

(2)
The following is a PBE calculation of a relaxed Tb4Sm3Er2 crystal, from the Alexandria database.

Computed properties:
**Size of the total moment**: 0.00 μB per formula unit

Cell lengths 16.4579, 11.5917, 6.0996 Å; angles 90.00, 96.47, 90.00 degrees
Closest atoms and distances in Å follow each position.
Space group C2/c (No. 15)
Asymmetric unit:
Tb  0.0471  0.1389  0.0143 (multiplicity 8)  1 Er 3.31, 4 Sm 3.39-3.54, 3 Tb 3.42-3.57
Tb  0.2124  0.3604  0.8476 (multiplicity 8)  1 Tb 3.32, 4 Sm 3.40-3.51, 3 Er 3.40-3.57
Sm  0.0000  0.4011  0.7500 (multiplicity 4)  4 Er 3.37-3.49, 4 Tb 3.49-3.51
Sm  0.1675  0.0989  0.5785 (multiplicity 8)  6 Tb 3.39-3.54, 2 Er 3.49-3.54
Er  0.1186  0.3618  0.3166 (multiplicity 8)  4 Tb 3.31-3.57, 4 Sm 3.37-3.54

Unit: eV/atom. Relative energies: (1) 0.000; (2) 0.083.